# AlCSeS2 | Alexandria | PBE | relaxed
# calculated total energy	-3.061	eV per atom
# size of the total moment	1.5	μB per formula unit
# energy relative to the elements, uncorrected	1.880	eV/atom
data_AlCSeS2
_chemical_formula_sum 'Al1 C1 Se1 S2'
_cell_length_a 4.8124
_cell_length_b 4.8124
_cell_length_c 4.9974
_cell_angle_alpha 90.00
_cell_angle_beta 90.00
_cell_angle_gamma 90.00
_space_group_name_H-M_alt 'P 4/m m m'
_space_group_IT_number 123
_space_group_name_Hall '-P 4 2'
loop_
_atom_site_label
_atom_site_type_symbol
_atom_site_fract_x
_atom_site_fract_y
_atom_site_fract_z
Al1 Al 0.0000 0.0000 0.0000
C1 C 0.5000 0.5000 0.0000
Se1 Se 0.0000 0.0000 0.5000
S1 S 0.0000 0.5000 0.5000

=====

# CeMg6Al | Alexandria | PBE | relaxed
# calculated total energy	-2.367	eV per atom
# DFT formation energy	0.038	eV per atom
# size of the total moment	1.1	μB per formula unit
data_CeMg6Al
_chemical_formula_sum 'Ce2 Mg12 Al2'
_cell_length_a 4.8918
_cell_length_b 6.2639
_cell_length_c 12.5269
_cell_angle_alpha 90.00
_cell_angle_beta 90.00
_cell_angle_gamma 90.00
_space_group_name_H-M_alt 'A m m 2'
_space_group_IT_number 38
_space_group_name_Hall 'A 2 -2'
loop_
_atom_site_label
_atom_site_type_symbol
_atom_site_fract_x
_atom_site_fract_y
_atom_site_fract_z
Ce1 Ce 0.0000 0.0000 0.0000
Mg1 Mg 0.0000 0.0000 0.4477
Mg2 Mg 0.0000 0.2446 0.7311
Mg3 Mg 0.5000 0.0000 0.6031
Mg4 Mg 0.5000 0.2455 0.8695
Al1 Al 0.5000 0.0000 0.1544

=====

# TaPb3 | Alexandria | PBE | relaxed
# calculated total energy	-5.343	eV per atom
# DFT formation energy	0.401	eV per atom
# size of the total moment	0.0	μB per formula unit
data_TaPb3
_chemical_formula_sum 'Ta2 Pb6'
_cell_length_a 3.1442
_cell_length_b 5.0581
_cell_length_c 14.2695
_cell_angle_alpha 90.00
_cell_angle_beta 90.00
_cell_angle_gamma 90.00
_space_group_name_H-M_alt 'I m m m'
_space_group_IT_number 71
_space_group_name_Hall '-I 2 2'
loop_
_atom_site_label
_atom_site_type_symbol
_atom_site_fract_x
_atom_site_fract_y
_atom_site_fract_z
Ta1 Ta 0.0000 0.0000 0.0000
Pb1 Pb 0.0000 0.0000 0.5000
Pb2 Pb 0.0000 0.5000 0.3117

=====

# CsSbI2O | Alexandria | PBE | relaxed
# calculated total energy	-3.527	eV per atom
# size of the total moment	0.0	μB per formula unit
# energy relative to the elements, uncorrected	-0.920	eV/atom
data_CsSbI2O
_chemical_formula_sum 'Cs1 Sb1 I2 O1'
_cell_length_a 6.4624
_cell_length_b 6.4624
_cell_length_c 4.2173
_cell_angle_alpha 90.00
_cell_angle_beta 90.00
_cell_angle_gamma 90.00
_space_group_name_H-M_alt 'P 4/m m m'
_space_group_IT_number 123
_space_group_name_Hall '-P 4 2'
loop_
_atom_site_label
_atom_site_type_symbol
_atom_site_fract_x
_atom_site_fract_y
_atom_site_fract_z
Cs1 Cs 0.0000 0.0000 0.0000
Sb1 Sb 0.5000 0.5000 0.5000
I1 I 0.0000 0.5000 0.5000
O1 O 0.5000 0.5000 0.0000

=====

# Tb2SmNi | Alexandria | PBE | relaxed
# calculated total energy	-5.165	eV per atom
# DFT formation energy	-0.225	eV per atom
# size of the total moment	0.0	μB per formula unit
data_Tb2SmNi
_chemical_formula_sum 'Tb8 Sm4 Ni4'
_cell_length_a 6.9065
_cell_length_b 9.6681
_cell_length_c 6.3972
_cell_angle_alpha 90.00
_cell_angle_beta 90.00
_cell_angle_gamma 90.00
_space_group_name_H-M_alt 'P n m a'
_space_group_IT_number 62
_space_group_name_Hall '-P 2ac 2n'
loop_
_atom_site_label
_atom_site_type_symbol
_atom_site_fract_x
_atom_site_fract_y
_atom_site_fract_z
Tb1 Tb 0.1769 0.0665 0.1760
Sm1 Sm 0.0331 0.2500 0.6402
Ni1 Ni 0.1107 0.7500 0.9352

=====

# Pu2ThSiC | Alexandria | PBE | relaxed
# calculated total energy	-10.200	eV per atom
# size of the total moment	0.0	μB per formula unit
# energy relative to the elements, uncorrected	-0.054	eV/atom
data_Pu2ThSiC
_chemical_formula_sum 'Pu8 Th4 Si4 C4'
_cell_length_a 3.5818
_cell_length_b 11.6542
_cell_length_c 9.1695
_cell_angle_alpha 90.00
_cell_angle_beta 90.00
_cell_angle_gamma 90.00
_space_group_name_H-M_alt 'C m c m'
_space_group_IT_number 63
_space_group_name_Hall '-C 2c 2'
loop_
_atom_site_label
_atom_site_type_symbol
_atom_site_fract_x
_atom_site_fract_y
_atom_site_fract_z
Pu1 Pu 0.0000 0.1891 0.0342
Th1 Th 0.0000 0.4752 0.2500
Si1 Si 0.0000 0.2416 0.7500
C1 C 0.0000 0.0000 0.0000

=====

# Zr5Sb4H | Alexandria | PBE | relaxed
# calculated total energy	-6.667	eV per atom
# size of the total moment	0.0	μB per formula unit
data_Zr5Sb4H
_chemical_formula_sum 'Zr10 Sb8 H2'
_cell_length_a 8.8259
_cell_length_b 8.8259
_cell_length_c 5.7229
_cell_angle_alpha 90.00
_cell_angle_beta 90.00
_cell_angle_gamma 90.00
_space_group_name_H-M_alt 'I 4'
_space_group_IT_number 79
_space_group_name_Hall 'I 4'
loop_
_atom_site_label
_atom_site_type_symbol
_atom_site_fract_x
_atom_site_fract_y
_atom_site_fract_z
Zr1 Zr 0.0000 0.0000 0.0000
Zr2 Zr 0.1016 0.2399 0.4729
Sb1 Sb 0.0751 0.3202 0.9724
H1 H 0.0000 0.0000 0.3717

=====

# Tb2SmDy5Mg | Alexandria | PBE | relaxed
# calculated total energy	-4.184	eV per atom
# DFT formation energy	0.103	eV per atom
# size of the total moment	0.0	μB per formula unit
data_Tb2SmDy5Mg
_chemical_formula_sum 'Tb8 Sm4 Dy20 Mg4'
_cell_length_a 5.4220
_cell_length_b 20.0211
_cell_length_c 10.5293
_cell_angle_alpha 90.00
_cell_angle_beta 90.00
_cell_angle_gamma 90.00
_space_group_name_H-M_alt 'C m c 21'
_space_group_IT_number 36
_space_group_name_Hall 'C 2c -2'
loop_
_atom_site_label
_atom_site_type_symbol
_atom_site_fract_x
_atom_site_fract_y
_atom_site_fract_z
Tb1 Tb 0.0000 0.1146 0.0000
Tb2 Tb 0.0000 0.1145 0.4226
Sm1 Sm 0.0000 0.2067 0.7111
Dy1 Dy 0.0000 0.0138 0.7112
Dy2 Dy 0.0000 0.2900 0.0097
Dy3 Dy 0.0000 0.2904 0.4123
Dy4 Dy 0.0000 0.3848 0.7113
Dy5 Dy 0.0000 0.4996 0.4608
Mg1 Mg 0.0000 0.4053 0.2100

=====

# RhBr2 | Alexandria | PBE | relaxed
# calculated total energy	-3.305	eV per atom
# size of the total moment	0.0	μB per formula unit
# energy relative to the elements, uncorrected	0.261	eV/atom
data_RhBr2
_chemical_formula_sum 'Rh4 Br8'
_cell_length_a 6.4635
_cell_length_b 6.4635
_cell_length_c 6.2022
_cell_angle_alpha 90.00
_cell_angle_beta 90.00
_cell_angle_gamma 90.00
_space_group_name_H-M_alt 'I 4/m c m'
_space_group_IT_number 140
_space_group_name_Hall '-I 4 2c'
loop_
_atom_site_label
_atom_site_type_symbol
_atom_site_fract_x
_atom_site_fract_y
_atom_site_fract_z
Rh1 Rh 0.0000 0.0000 0.2500
Br1 Br 0.2140 0.2860 0.0000

=====

# RuRhPb2 | Alexandria | PBE | relaxed
# calculated total energy	-5.690	eV per atom
# DFT formation energy	0.321	eV per atom
# size of the total moment	0.0	μB per formula unit
data_RuRhPb2
_chemical_formula_sum 'Ru2 Rh2 Pb4'
_cell_length_a 3.2835
_cell_length_b 4.1235
_cell_length_c 12.0683
_cell_angle_alpha 90.00
_cell_angle_beta 90.00
_cell_angle_gamma 90.00
_space_group_name_H-M_alt 'I m m 2'
_space_group_IT_number 44
_space_group_name_Hall 'I 2 -2'
loop_
_atom_site_label
_atom_site_type_symbol
_atom_site_fract_x
_atom_site_fract_y
_atom_site_fract_z
Ru1 Ru 0.0000 0.0000 0.0000
Rh1 Rh 0.0000 0.5000 0.2753
Pb1 Pb 0.0000 0.0000 0.4379
Pb2 Pb 0.0000 0.5000 0.6863

=====

# KSbCl3 | Alexandria | PBE | relaxed
# calculated total energy	-3.349	eV per atom
# size of the total moment	0.0	μB per formula unit
# energy relative to the elements, uncorrected	-1.197	eV/atom
data_KSbCl3
_chemical_formula_sum 'K4 Sb4 Cl12'
_cell_length_a 8.2253
_cell_length_b 7.5497
_cell_length_c 11.6275
_cell_angle_alpha 90.00
_cell_angle_beta 106.88
_cell_angle_gamma 90.00
_space_group_name_H-M_alt 'P 1 21/c 1'
_space_group_IT_number 14
_space_group_name_Hall '-P 2ybc'
loop_
_atom_site_label
_atom_site_type_symbol
_atom_site_fract_x
_atom_site_fract_y
_atom_site_fract_z
K1 K 0.1415 0.1130 0.1822
Sb1 Sb 0.4509 0.6963 0.9880
Cl1 Cl 0.1381 0.6074 0.9101
Cl2 Cl 0.2322 0.1482 0.9358
Cl3 Cl 0.4746 0.6869 0.7820

=====

# CsReSe2N | Alexandria | PBE | relaxed
# calculated total energy	-5.689	eV per atom
# size of the total moment	0.4	μB per formula unit
# energy relative to the elements, uncorrected	0.031	eV/atom
data_CsReSe2N
_chemical_formula_sum 'Cs1 Re1 Se2 N1'
_cell_length_a 5.3521
_cell_length_b 5.3521
_cell_length_c 3.8503
_cell_angle_alpha 90.00
_cell_angle_beta 90.00
_cell_angle_gamma 90.00
_space_group_name_H-M_alt 'P 4/m m m'
_space_group_IT_number 123
_space_group_name_Hall '-P 4 2'
loop_
_atom_site_label
_atom_site_type_symbol
_atom_site_fract_x
_atom_site_fract_y
_atom_site_fract_z
Cs1 Cs 0.0000 0.0000 0.0000
Re1 Re 0.5000 0.5000 0.5000
Se1 Se 0.0000 0.5000 0.5000
N1 N 0.5000 0.5000 0.0000

=====

Among the records above, which one has the lowest calculated total energy? Pu2ThSiC

=====

The lowest calculated total energy belongs to which entry? Pu2ThSiC

=====

What is the formula in the tenth record? RuRhPb2